An optimized crystal structure of TaAlCr, computed with GGA-PBE.

For the energy of formation from the pure elements, the calculation gives 177.2 kJ/mol of formula units. As for the size of the total moment: 0.44 μB per formula unit. The calculation puts the excess energy over the best structure of this formula in the dataset at 801 meV per atom. For the total energy, the calculation gives -23.38 eV/f.u.

Cell and atoms, written as extended XYZ:
```
3
Lattice="-3.1951 2.7027 -0.5000 -2.5776 0.8361 3.2279 0.1209 3.7751 1.8701" Properties=species:S:1:pos:R:3 pbc="T T T"
Cr -1.4130 1.8285 1.1495
Al -2.8259 3.6569 2.2990
Ta 0.0000 0.0000 0.0000
```


An optimized crystal structure of Ta2FeAs, computed with GGA-PBE.

For the energy of formation from the pure elements, the calculation gives 3.2 kJ/mol of formula units. As for the size of the total moment: 0.20 μB per formula unit. For the total energy, the calculation gives -36.78 eV/f.u.

Cell and atoms, written as extended XYZ:
```
4
Lattice="2.8891 0.0000 0.0000 0.0000 2.8891 0.0000 0.0000 0.0000 7.4074" Properties=species:S:1:pos:R:3 pbc="T T T"
As 0.0000 0.0000 4.0338
Fe 1.4445 1.4445 5.2873
Ta 0.0000 0.0000 7.1512
Ta 1.4445 1.4445 2.0462
```


An optimized crystal structure of Sr4AsSe3, computed with GGA-PBE.

The value obtained for the raw formation energy is -1721 meV/atom. As for the size of the total moment: 0.21 μB per formula unit. For the total energy, the calculation gives -35.60 eV/f.u.

Cell and atoms, written as extended XYZ:
```
8
Lattice="-2.9916 5.4934 0.8437 0.6046 -0.6309 6.2511 5.5249 3.0437 -0.2272" Properties=species:S:1:pos:R:3 pbc="T T T"
Sr -1.4958 2.7467 0.4219
Sr 0.3023 -0.3154 3.1255
Sr 2.7624 1.5218 -0.1136
Sr 1.5689 3.9531 3.4338
As 0.0000 0.0000 0.0000
Se 3.0647 1.2064 3.0119
Se 1.2666 4.2685 0.3083
Se -1.1935 2.4313 3.5474
```


An optimized crystal structure of PmSm2S2O2, computed with GGA-PBE.

The value obtained for the raw formation energy is -2673 meV/atom. As for the size of the total moment: 0.00 μB per formula unit. For the total energy, the calculation gives -51.07 eV/f.u.

Cell and atoms, written as extended XYZ:
```
7
Lattice="3.9033 0.0000 0.0000 1.9516 6.8171 0.4010 1.9516 2.9516 5.7652" Properties=species:S:1:pos:R:3 pbc="T T T"
Pm 0.0000 0.0000 0.0000
Sm 1.9516 2.8201 1.6243
Sm 5.8549 6.9486 4.5419
S 3.9033 3.0130 3.6937
S 3.9033 6.7556 2.4725
O 3.9033 7.4291 5.8114
O 3.9033 2.3396 0.3549
```


An optimized crystal structure of Sn2SbPd8, computed with GGA-PBE.

The value obtained for the raw formation energy is -445 meV/atom. As for the size of the total moment: 0.00 μB per formula unit. The calculation puts the excess energy over the best structure of this formula in the dataset at 3 meV per atom. For the total energy, the calculation gives -58.56 eV/f.u.

Cell and atoms, written as extended XYZ:
```
11
Lattice="-0.6839 -2.5824 -3.2831 3.7794 -4.3083 2.6015 -6.4921 -0.0116 4.0898" Properties=species:S:1:pos:R:3 pbc="T T T"
Sn -3.1741 -3.4932 0.6804
Sn -0.2224 -3.4091 2.7278
Sb -0.3419 -1.2912 -1.6416
Pd -3.5042 -3.4270 3.4255
Pd 0.8382 -5.7225 1.5982
Pd -1.9925 -5.4812 1.9979
Pd -5.8137 -3.5937 1.3092
Pd -1.4040 -1.4212 1.4103
Pd -4.2347 -1.1798 1.8101
Pd 0.1077 -3.4753 -0.0173
Pd 2.4171 -3.3087 2.0990
```


An optimized crystal structure of Dy3CdIn3, computed with GGA-PBE.

For the energy of formation from the pure elements, the calculation gives -268.3 kJ/mol of formula units. As for the size of the total moment: 0.00 μB per formula unit. For the total energy, the calculation gives -25.72 eV/f.u.

Cell and atoms, written as extended XYZ:
```
14
Lattice="0.2526 -2.6785 3.8802 4.3076 -4.3916 -0.4392 10.4277 6.9244 6.9737" Properties=species:S:1:pos:R:3 pbc="T T T"
Dy 7.9354 1.4885 6.2563
Dy 7.0524 -1.6342 4.1583
Dy 3.3777 -0.2821 2.4582
Dy 11.6102 0.1364 7.9565
Dy 10.9025 4.0821 7.8535
Dy 4.0854 -4.2278 2.5611
Cd 4.6116 0.2378 5.6094
Cd 10.3763 -0.3835 4.8052
In 9.0180 -1.6150 6.9163
In 5.9699 1.4693 3.4983
In 13.2848 2.4493 6.5713
In 1.7031 -2.5950 3.8433
In 6.0822 -4.5503 5.0812
In 8.9056 4.4047 5.3334
```


An optimized crystal structure of GaFe2SbW, computed with GGA-PBE.

The value obtained for the raw formation energy is 2087 meV/atom. As for the size of the total moment: 2.45 μB per formula unit. For the total energy, the calculation gives -26.59 eV/f.u.

Cell and atoms, written as extended XYZ:
```
5
Lattice="4.4949 0.0000 0.0000 0.0000 4.9961 0.0000 0.0000 0.0000 4.4949" Properties=species:S:1:pos:R:3 pbc="T T T"
Sb 0.0000 0.0000 0.0000
Ga 0.0000 2.4980 0.0000
W 2.2474 2.4980 2.2474
Fe 0.0000 0.0000 2.2474
Fe 2.2474 0.0000 0.0000
```


An optimized crystal structure of BAsRhSe2, computed with GGA-PBE.

The value obtained for the raw formation energy is 783 meV/atom. As for the size of the total moment: 0.00 μB per formula unit. The calculation puts the excess energy over the best structure of this formula in the dataset at 0 meV per atom. For the total energy, the calculation gives -21.73 eV/f.u.

Cell and atoms, written as extended XYZ:
```
5
Lattice="4.4007 0.0000 0.0000 0.0000 4.4007 0.0000 0.0000 0.0000 4.2205" Properties=species:S:1:pos:R:3 pbc="T T T"
As 0.0000 0.0000 2.1103
B 0.0000 0.0000 0.0000
Rh 2.2004 2.2004 2.1103
Se 0.0000 2.2004 0.0000
Se 2.2004 0.0000 0.0000
```


An optimized crystal structure of LaPm3Au4, computed with GGA-PBE.

For the energy of formation from the pure elements, the calculation gives -598.1 kJ/mol of formula units. As for the size of the total moment: 0.00 μB per formula unit. The calculation puts the excess energy over the best structure of this formula in the dataset at 0 meV per atom. For the total energy, the calculation gives -38.49 eV/f.u.

Cell and atoms, written as extended XYZ:
```
8
Lattice="6.0721 0.0000 -2.1468 -3.0361 5.2586 -2.1468 0.0000 0.0000 6.4405" Properties=species:S:1:pos:R:3 pbc="T T T"
Pm -1.5180 2.6293 2.1468
Pm 3.0361 0.0000 2.1468
Pm 1.5180 2.6293 -2.1468
Au 0.0000 0.0000 3.2197
Au 1.5183 2.6298 1.0736
Au 3.0355 0.0000 -1.0732
Au -1.5178 2.6289 -1.0732
La 0.0000 0.0000 0.0000
```


An optimized crystal structure of TaVOsW, computed with GGA-PBE.

For the energy of formation from the pure elements, the calculation gives -86.8 kJ/mol of formula units. As for the size of the total moment: 0.00 μB per formula unit. For the total energy, the calculation gives -46.05 eV/f.u.

Cell and atoms, written as extended XYZ:
```
4
Lattice="4.4387 0.0000 0.0000 2.2193 3.8440 0.0000 2.2193 1.2813 3.6242" Properties=species:S:1:pos:R:3 pbc="T T T"
V 2.2193 1.2813 0.9060
Os 4.4387 2.5627 1.8121
W 0.0000 0.0000 0.0000
Ta 6.6580 3.8440 2.7181
```


An optimized crystal structure of K2OsI, computed with GGA-PBE.

The value obtained for the raw formation energy is 707 meV/atom. As for the size of the total moment: 0.00 μB per formula unit. The calculation puts the excess energy over the best structure of this formula in the dataset at 0 meV per atom. For the total energy, the calculation gives -12.15 eV/f.u.

Cell and atoms, written as extended XYZ:
```
8
Lattice="-9.1261 7.9196 3.6003 2.1610 -2.9907 12.0563 -1.8216 4.3062 7.9874" Properties=species:S:1:pos:R:3 pbc="T T T"
I -3.4826 2.4645 7.8283
I -1.5716 1.8900 13.9360
K -7.8081 7.3177 6.5111
K -7.4527 6.4517 12.8253
K -4.4325 5.7069 9.3267
K -9.1673 9.9043 10.1689
Os 0.0000 0.0000 0.0000
Os -7.2151 7.3452 9.7080
```


An optimized crystal structure of NpFeCo2, computed with GGA-PBE.

For the energy of formation from the pure elements, the calculation gives -22.5 kJ/mol of formula units. As for the size of the total moment: 0.54 μB per formula unit. For the total energy, the calculation gives -35.85 eV/f.u.

Cell and atoms, written as extended XYZ:
```
4
Lattice="3.7944 0.0000 0.0000 0.0000 3.7454 0.0000 0.0000 0.0000 3.7454" Properties=species:S:1:pos:R:3 pbc="T T T"
Np 1.8972 1.8727 1.8727
Co 0.0000 0.0000 1.8727
Co 0.0000 1.8727 0.0000
Fe 1.8972 0.0000 0.0000
```